Na3TcNi3Se8 | PBE-GGA | optimized geometry

Size of the total moment in μB per atom: 0.055
E_form (uncorrected) in eV per atom: -0.451
Final energy in eV/f.u.: -66.301

Lattice parameters (Å, degrees): 7.3641 7.3641 20.4860 90.00 90.00 120.00
Last column: nearest neighbours and their distance in Å.
Space group R-3m (No. 166, hexagonal axes)
Asymmetric unit:
Na 0.0000 0.5000 0.0000 (multiplicity 9)  6 Se 3.02-3.05
Tc 0.0000 0.0000 0.5000 (multiplicity 3)  6 Se 2.54
Ni 0.0000 0.5000 0.5000 (multiplicity 9)  6 Se 2.46-2.47
Se 0.0000 0.0000 0.2267 (multiplicity 6)  3 Ni 2.46
Se 0.0083 0.5041 0.7700 (multiplicity 18)  2 Ni 2.47, 1 Tc 2.54